# PBE-GGA K2Tl2Au, relaxed
data_K2Tl2Au
_cell_length_a 4.7962
_cell_length_b 4.7962
_cell_length_c 15.9702
_cell_angle_alpha 90.00
_cell_angle_beta 90.00
_cell_angle_gamma 90.00
_space_group_name_H-M_alt 'I 4/m m m'
_space_group_IT_number 139
_space_group_name_Hall '-I 4 2'
loop_
_atom_site_label
_atom_site_type_symbol
_atom_site_fract_x
_atom_site_fract_y
_atom_site_fract_z
_atom_site_occupancy
K1 K 0.0000 0.5000 0.2500 1
Tl1 Tl 0.0000 0.0000 0.0884 1
Au1 Au 0.0000 0.0000 0.5000 1
# V	367.4	Å³/cell
# energy	-1.749	eV/atom
# ΔE_f	1.5	eV/f.u.
# offset from the most stable computed form	454.3	meV/atom
# Fermi-level density of states	0.78	states/eV/atom